# SmCoO3 | the Open Quantum Materials Database | PBE+U | optimized geometry
data_SmCoO3
_cell_length_a 5.4513
_cell_length_b 5.4513
_cell_length_c 14.5197
_cell_angle_alpha 90.00
_cell_angle_beta 90.00
_cell_angle_gamma 120.00
_symmetry_space_group_name_H-M 'R -3'
_symmetry_Int_Tables_number 148
_symmetry_space_group_name_Hall '-R 3'
loop_
_atom_site_label
_atom_site_fract_x
_atom_site_fract_y
_atom_site_fract_z
_atom_site_occupancy
Sm1 0.0000 0.0000 0.1306 1
Co1 0.0000 0.0000 0.3454 1
O1 0.0172 0.6213 0.9229 1
# Size of the total moment, μB/cell: 24.0
# Electronic total energy, eV/atom: -6.96
# V, Å³ per atom: 12.46